The following is a PBE-GGA calculation of a relaxed structure of Ca2ZnNi, from Alexandria via LeMat-Bulk.

Geometry as extended XYZ:
```
4
Lattice="4.191 0.000 0.000 0.000 2.126 5.430 0.000 -2.126 5.430" Properties=species:S:1:pos:R:3 pbc="T T T"
Ca 0.000 0.000 0.000
Ca 2.095 0.000 3.092
Zn 2.095 0.000 6.351
Ni 0.000 0.000 7.597
```

Calculated values
- space-group type = Amm2, No. 38
- formation enthalpy at 0 K (eV per atom) = -0.209